Here is an optimized crystal structure of PmCoNiBi from Alexandria. Energies are from GGA-PBE.

a = 6.7236 Å, b = 6.7236 Å, c = 6.7236 Å
α = 90.00°, β = 90.00°, γ = 90.00°
Closest atoms and distances in Å follow each position.
Atoms (fractional coordinates):
Pm (0.0000, 0.0000, 0.0000)  4 Co 2.91, 4 Ni 2.91
Pm (0.0000, 0.5000, 0.5000)  4 Co 2.91, 4 Ni 2.91
Pm (0.5000, 0.0000, 0.5000)  4 Co 2.91, 4 Ni 2.91
Pm (0.5000, 0.5000, 0.0000)  4 Co 2.91, 4 Ni 2.91
Co (0.2500, 0.2500, 0.2500)  4 Bi 2.91, 4 Pm 2.91
Co (0.2500, 0.7500, 0.7500)  4 Bi 2.91, 4 Pm 2.91
Co (0.7500, 0.2500, 0.7500)  4 Bi 2.91, 4 Pm 2.91
Co (0.7500, 0.7500, 0.2500)  4 Bi 2.91, 4 Pm 2.91
Ni (0.2500, 0.2500, 0.7500)  4 Bi 2.91, 4 Pm 2.91
Ni (0.2500, 0.7500, 0.2500)  4 Bi 2.91, 4 Pm 2.91
Ni (0.7500, 0.2500, 0.2500)  4 Bi 2.91, 4 Pm 2.91
Ni (0.7500, 0.7500, 0.7500)  4 Bi 2.91, 4 Pm 2.91
Bi (0.0000, 0.0000, 0.5000)  4 Co 2.91, 4 Ni 2.91
Bi (0.0000, 0.5000, 0.0000)  4 Co 2.91, 4 Ni 2.91
Bi (0.5000, 0.0000, 0.0000)  4 Co 2.91, 4 Ni 2.91
Bi (0.5000, 0.5000, 0.5000)  4 Co 2.91, 4 Ni 2.91

ρ = 10.3 g/cm3
uncorrected energy = -87.29 eV per cell
space-group type = F-43m, No. 216